Entry 1:
PBE TbBe2Co3, optimized geometry; energy relative to the elements = -0.266 eV per atom; magnetization = 1.8 μB per formula unit
1.0
3.477 0.000 0.000
0.000 4.294 -2.473
0.000 -0.006 4.955
Co Be Tb
3 2 1
direct
0.500 0.501 0.000
0.500 0.501 0.500
0.500 0.001 0.500
0.000 0.335 0.667
0.000 0.668 0.333
0.000 0.001 0.000

***

Entry 2:
PBE TiAgTeI2, optimized geometry; magnetization = 1.1 μB per formula unit; ΔE to the lowest computed polymorph = 84.5 kJ/mol of atoms; formation energy from raw total energies = 0.863 eV per atom
1.0
6.158 0.000 0.000
0.000 5.281 0.000
0.000 0.000 6.158
Ti Te I Ag
1 1 2 1
direct
0.500 0.500 0.500
0.000 0.000 0.000
0.500 0.000 0.000
0.000 0.000 0.500
0.000 0.500 0.000

***

Entry 3:
PBE CsTiTc2O8, optimized geometry; magnetization = 0.0 μB per formula unit; formation energy from raw total energies = -1.810 eV per atom
1.0
-1.524 5.457 0.709
-2.088 2.977 -4.403
-9.478 0.218 0.940
O Ti Cs Tc
8 1 1 2
direct
0.622 0.622 0.626
0.298 0.298 0.105
0.870 0.378 0.374
0.702 0.702 0.895
0.622 0.130 0.626
0.378 0.870 0.374
0.130 0.622 0.626
0.378 0.378 0.374
0.500 0.500 0.500
0.000 0.000 0.000
0.233 0.233 0.302
0.767 0.767 0.698

***

Entry 4:
PBE Be2FePdRh, optimized geometry; energy relative to the elements = 0.813 eV per atom; magnetization = 3.3 μB per formula unit
1.0
3.997 0.000 0.000
0.000 5.036 0.000
0.000 0.000 3.997
Pd Rh Be Fe
1 1 2 1
direct
0.000 0.500 0.000
0.000 0.000 0.000
0.500 0.000 0.000
0.000 0.000 0.500
0.500 0.500 0.500

***

Entry 5:
PBE NaLaS2, optimized geometry; magnetization = 0.0 μB per formula unit; formation energy from raw total energies = -1.855 eV per atom
1.0
-4.936 4.822 2.635
-6.656 -3.027 1.042
6.854 -1.906 1.987
S Na La
4 2 2
direct
0.265 0.265 0.000
0.485 0.985 0.500
0.735 0.735 0.000
0.015 0.515 0.500
0.750 0.250 0.500
0.000 0.000 0.000
0.250 0.750 0.500
0.500 0.500 0.000

***

Entry 6:
PBE Pm4Bi8Pd3, optimized geometry; energy relative to the elements = -0.660 eV per atom; magnetization = 0.0 μB per formula unit
1.0
4.665 0.000 0.000
0.000 4.665 0.000
0.000 0.000 19.241
Bi Pm Pd
8 4 3
direct
0.500 0.000 0.077
0.500 0.000 0.584
0.000 0.500 0.923
0.500 0.500 0.248
0.000 0.000 0.248
0.500 0.500 0.752
0.000 0.500 0.416
0.000 0.000 0.752
0.000 0.500 0.111
0.500 0.000 0.889
0.000 0.500 0.617
0.500 0.000 0.383
0.000 0.000 0.000
0.500 0.500 0.500
0.000 0.000 0.500

***

Entry 7:
PBE PrNd6Sm3Er2, optimized geometry; energy relative to the elements = 0.014 eV per atom; magnetization = 0.0 μB per formula unit
1.0
-4.945 -0.975 -3.805
1.204 -4.033 4.708
-5.596 8.087 6.947
Er Nd Pr Sm
2 6 1 3
direct
0.333 0.667 0.000
0.667 0.333 0.000
0.083 0.418 0.249
0.418 0.083 0.249
0.582 0.917 0.751
0.251 0.251 0.751
0.749 0.749 0.249
0.917 0.582 0.751
0.000 0.000 0.000
0.833 0.167 0.500
0.167 0.833 0.500
0.500 0.500 0.500

***

Entry 8:
PBE Ni2AsBr, optimized geometry; magnetization = 0.0 μB per formula unit; ΔE to the lowest computed polymorph = 87.4 kJ/mol of atoms; formation energy from raw total energies = 0.804 eV per atom
1.0
-1.277 4.262 0.636
-1.508 2.435 -3.463
-4.350 1.103 -0.247
Ni Br As
2 1 1
direct
0.000 0.000 0.000
0.250 0.250 0.250
0.750 0.750 0.750
0.500 0.500 0.500

***

magnetization of number 8 (Ni2AsBr)? 0.0 μB per formula unit